1.
Ta2BeZn: optimized geometry, PBE.

```
4
Lattice="-3.798 -0.596 0.996 1.077 -3.078 2.265 0.413 2.332 2.972" Properties=species:S:1:pos:R:3 pbc="T T T"
Be 0.745 -0.373 2.619
Zn -1.692 0.868 1.984
Ta 0.000 0.000 0.000
Ta -1.360 -1.837 1.630
```

Computed properties:
N(E_F) (states/eV/atom): 0.55
Excess energy over the best structure of this formula in the dataset (eV/f.u.): 0.28
Formation energy (eV/atom): 0.06

***

2.
Mg2MnCr: optimized geometry, PBE.

```
4
Lattice="9.470 -0.098 -0.057 9.036 2.835 -0.057 9.036 1.337 2.501" Properties=species:S:1:pos:R:3 pbc="T T T"
Cr 20.656 3.056 1.790
Mg 27.533 4.073 2.386
Mg 13.779 2.038 1.194
Mn 6.885 1.019 0.597
```

Computed properties:
N(E_F) (states/eV/atom): 0.96
Excess energy over the best structure of this formula in the dataset (eV/f.u.): 1.38
Formation energy (eV/atom): 0.51

***

3.
TlAsRhBr2: optimized geometry, PBE.

```
5
Lattice="5.715 0.000 0.000 0.000 5.715 0.000 0.000 0.000 5.419" Properties=species:S:1:pos:R:3 pbc="T T T"
Tl 0.000 0.000 0.000
Rh 2.857 2.857 2.709
As 0.000 0.000 2.709
Br 0.000 2.857 0.000
Br 2.857 0.000 0.000
```

Computed properties:
N(E_F) (states/eV/atom): 1.66
Excess energy over the best structure of this formula in the dataset (eV/f.u.): 5.73
Energy relative to the elements, uncorrected (eV/atom): 0.994

***

4.
SrCdFeGe2: optimized geometry, PBE.

```
5
Lattice="4.674 0.000 0.000 0.000 4.674 0.000 0.000 0.000 5.062" Properties=species:S:1:pos:R:3 pbc="T T T"
Sr 2.337 2.337 2.531
Ge 0.000 2.337 0.000
Ge 2.337 0.000 0.000
Fe 0.000 0.000 0.000
Cd 0.000 0.000 2.531
```

Computed properties:
N(E_F) (states/eV/atom): 0.35
Formation energy (eV/atom): -0.15